Record 1
Here is a relaxed LiCdSN2 crystal from Alexandria via LeMat-Bulk. Energies are from GGA-PBE.

Cell lengths 3.8054, 3.8054, 5.1248 Å; angles 90.00, 90.00, 90.00 degrees
Last column: nearest neighbours and their distance in Å.
Element x y z (fractional)
Li 0.0000 0.0000 0.0000  4 N 1.90
Cd 0.5000 0.5000 0.5000  4 S 2.69
S 0.0000 0.0000 0.5000  2 Li 2.56, 4 Cd 2.69
N 0.0000 0.5000 0.0000  2 Li 1.90
N 0.5000 0.0000 0.0000  2 Li 1.90

Summary:
total moment = 3.3 μB/f.u.
energy above the most stable polymorph in this dataset = 34 meV per atom
raw formation energy = 1.411 eV per atom

Record 2
Here is a relaxed NbAgOs3 crystal from Alexandria via LeMat-Bulk. Energies are from GGA-PBE.

Cell lengths 4.7683, 4.7683, 4.7683 Å; angles 90.00, 90.00, 90.00 degrees
Last column: nearest neighbours and their distance in Å.
Element x y z (fractional)
Nb 0.0000 0.0000 0.0000  6 Os 2.38
Ag 0.5000 0.5000 0.5000  12 Os 3.37
Os 0.0000 0.0000 0.5000  2 Nb 2.38
Os 0.0000 0.5000 0.0000  2 Nb 2.38
Os 0.5000 0.0000 0.0000  2 Nb 2.38

Summary:
total moment = 2.8 μB/f.u.
energy of formation from the pure elements = 2.268 eV per atom
energy above the most stable polymorph in this dataset = 0 meV per atom

Record 3
Here is a relaxed TeAsRu3 crystal from Alexandria via LeMat-Bulk. Energies are from GGA-PBE.

Cell lengths 4.5771, 4.5771, 4.5771 Å; angles 90.00, 90.00, 90.00 degrees
Last column: nearest neighbours and their distance in Å.
Element x y z (fractional)
Te 0.0000 0.0000 0.0000  12 Ru 3.24
As 0.5000 0.5000 0.5000  6 Ru 2.29
Ru 0.0000 0.5000 0.5000  2 As 2.29
Ru 0.5000 0.0000 0.5000  2 As 2.29
Ru 0.5000 0.5000 0.0000  2 As 2.29

Summary:
total moment = 0.0 μB/f.u.
energy above the most stable polymorph in this dataset = 0 meV per atom
raw formation energy = 0.861 eV per atom

| no. | E (eV/cell) |
| --- | --- |
| 1 | -16.55 |
| 2 | -35.27 |
| 3 | -31.31 |